Here is YMgRe at its PBEsol-relaxed geometry from Alexandria via LeMat-Bulk. Energies are from meta-GGA SCAN.

Results
- Crystal system: trigonal
- D(E_F): 2.93 states/eV/cell
- Total magnetic moment: 0.000 μB/f.u.
- Volume: 58.3 Å³ per cell
- ΔH_f (0 K): 0.5920 eV per atom

Cell: 2.9257 2.9257 7.8613 Å, 90.00 90.00 120.00°
Last column: nearest neighbours and their distance in Å.
Atoms (fractional coordinates):
1 Y 0.0000 0.0000 0.0000  6 Y 2.93, 3 Re 3.09
2 Mg 0.3333 0.6667 0.6193  3 Re 2.84, 6 Mg 2.93
3 Re 0.6667 0.3333 0.3288  3 Mg 2.84, 6 Re 2.93, 3 Y 3.09

---

Here is YMg2Re at its PBEsol-relaxed geometry from Alexandria via LeMat-Bulk. Energies are from meta-GGA SCAN.

Results
- Crystal system: cubic
- D(E_F): 13.90 states/eV/cell
- Total magnetic moment: 0.000 μB/f.u.
- Volume: 306.6 Å³ per cell
- ΔH_f (0 K): 0.3757 eV per atom

Cell: 6.7433 6.7433 6.7433 Å, 90.00 90.00 90.00°
Last column: nearest neighbours and their distance in Å.
Atoms (fractional coordinates):
1 Y 0.0000 0.0000 0.0000  8 Mg 2.92
2 Y 0.0000 0.5000 0.5000  8 Mg 2.92
3 Y 0.5000 0.0000 0.5000  8 Mg 2.92
4 Y 0.5000 0.5000 0.0000  8 Mg 2.92
5 Mg 0.2500 0.2500 0.2500  4 Re 2.92, 4 Y 2.92
6 Mg 0.2500 0.2500 0.7500  4 Re 2.92, 4 Y 2.92
7 Mg 0.2500 0.7500 0.2500  4 Re 2.92, 4 Y 2.92
8 Mg 0.2500 0.7500 0.7500  4 Re 2.92, 4 Y 2.92
9 Mg 0.7500 0.2500 0.2500  4 Re 2.92, 4 Y 2.92
10 Mg 0.7500 0.2500 0.7500  4 Re 2.92, 4 Y 2.92
11 Mg 0.7500 0.7500 0.2500  4 Re 2.92, 4 Y 2.92
12 Mg 0.7500 0.7500 0.7500  4 Y 2.92, 4 Re 2.92
13 Re 0.0000 0.0000 0.5000  8 Mg 2.92
14 Re 0.0000 0.5000 0.0000  8 Mg 2.92
15 Re 0.5000 0.0000 0.0000  8 Mg 2.92
16 Re 0.5000 0.5000 0.5000  8 Mg 2.92

---

Here is Y2MgRe at its PBEsol-relaxed geometry from Alexandria via LeMat-Bulk. Energies are from meta-GGA SCAN.

Results
- Crystal system: tetragonal
- D(E_F): 4.27 states/eV/cell
- Total magnetic moment: 0.000 μB/f.u.
- Volume: 95.0 Å³ per cell
- ΔH_f (0 K): 0.0240 eV per atom

Cell: 3.4292 3.4292 8.0768 Å, 90.00 90.00 90.00°
Last column: nearest neighbours and their distance in Å.
Atoms (fractional coordinates):
1 Y 0.0000 0.0000 0.2019  4 Re 2.92, 1 Y 3.26
2 Y 0.0000 0.0000 0.7981  4 Re 2.92, 1 Y 3.26
3 Mg 0.5000 0.5000 0.5000  8 Y 3.42, 4 Mg 3.43
4 Re 0.5000 0.5000 0.0000  8 Y 2.92

---

Here is YMg2Re at its PBEsol-relaxed geometry from Alexandria via LeMat-Bulk. Energies are from meta-GGA SCAN.

Results
- Crystal system: orthorhombic
- D(E_F): 2.26 states/eV/cell
- Total magnetic moment: 0.557 μB/f.u.
- Volume: 79.8 Å³ per cell
- ΔH_f (0 K): 0.3261 eV per atom

Cell: 4.1366 4.1540 4.6431 Å, 90.00 90.00 90.00°
Last column: nearest neighbours and their distance in Å.
Atoms (fractional coordinates):
1 Y 0.0000 0.0000 0.0000  4 Re 2.93, 8 Mg 3.11-3.12
2 Mg 0.0000 0.5000 0.5000  4 Mg 2.93, 4 Re 3.11, 4 Y 3.12
3 Mg 0.5000 0.0000 0.5000  4 Mg 2.93, 4 Y 3.11, 4 Re 3.12
4 Re 0.5000 0.5000 0.0000  4 Y 2.93, 8 Mg 3.11-3.12

---

Here is Mg2ZnRe at its PBEsol-relaxed geometry from Alexandria via LeMat-Bulk. Energies are from meta-GGA SCAN.

Results
- Crystal system: tetragonal
- D(E_F): 2.41 states/eV/cell
- Total magnetic moment: 0.000 μB/f.u.
- Volume: 66.3 Å³ per cell
- ΔH_f (0 K): 0.2571 eV per atom

Cell: 2.7450 2.7450 8.7968 Å, 90.00 90.00 90.00°
Last column: nearest neighbours and their distance in Å.
Atoms (fractional coordinates):
1 Mg 0.0000 0.0000 0.0000  4 Mg 2.74, 4 Zn 2.87
2 Mg 0.5000 0.5000 0.2976  4 Mg 2.74, 4 Re 2.88
3 Zn 0.5000 0.5000 0.7592  4 Re 2.74, 4 Zn 2.74, 4 Mg 2.87
4 Re 0.0000 0.0000 0.5389  4 Zn 2.74, 4 Re 2.74, 4 Mg 2.88

---

Here is MgZn4Re at its PBEsol-relaxed geometry from Alexandria via LeMat-Bulk. Energies are from meta-GGA SCAN.

Results
- Crystal system: cubic
- D(E_F): 4.22 states/eV/cell
- Total magnetic moment: 0.001 μB/f.u.
- Volume: 84.9 Å³ per cell
- ΔH_f (0 K): 0.1596 eV per atom

Cell: 4.9337 4.9337 4.9337 Å, 60.00 60.00 60.00°
Last column: nearest neighbours and their distance in Å.
Atoms (fractional coordinates):
1 Mg 0.0000 0.0000 0.0000  12 Zn 2.89, 4 Re 3.02
2 Zn 0.1283 0.6239 0.6239  6 Zn 2.45-2.49
3 Zn 0.6239 0.1283 0.6239  6 Zn 2.45-2.49
4 Zn 0.6239 0.6239 0.1283  6 Zn 2.45-2.49
5 Zn 0.6239 0.6239 0.6239  6 Zn 2.45-2.49
6 Re 0.2500 0.2500 0.2500  12 Zn 2.89, 4 Mg 3.02

---

Here is MgZn2Re at its PBEsol-relaxed geometry from Alexandria via LeMat-Bulk. Energies are from meta-GGA SCAN.

Results
- Crystal system: monoclinic
- D(E_F): 3.20 states/eV/cell
- Total magnetic moment: 0.000 μB/f.u.
- Volume: 117.5 Å³ per cell
- ΔH_f (0 K): 0.0970 eV per atom

Cell: 10.1248 2.7146 4.7873 Å, 90.00 116.79 90.00°
Last column: nearest neighbours and their distance in Å.
Atoms (fractional coordinates):
1 Mg 0.0000 0.0000 0.0000  7 Zn 2.69-2.80, 2 Mg 2.71, 3 Re 2.76-2.80
2 Mg 0.5000 0.5000 0.0000  7 Zn 2.69-2.80, 2 Mg 2.71, 3 Re 2.76-2.80
3 Zn 0.0024 0.5000 0.5142  4 Mg 2.70-2.80, 5 Zn 2.71-2.80, 3 Re 2.72-2.74
4 Zn 0.2563 0.5000 0.0921  3 Mg 2.69-2.78, 5 Zn 2.71-2.80, 4 Re 2.72-2.78
5 Zn 0.5024 0.0000 0.5142  4 Mg 2.70-2.80, 5 Zn 2.71-2.80, 3 Re 2.72-2.74
6 Zn 0.7563 0.0000 0.0921  3 Mg 2.69-2.78, 5 Zn 2.71-2.80, 4 Re 2.72-2.78
7 Re 0.2466 0.0000 0.5760  2 Re 2.71, 7 Zn 2.72-2.78, 3 Mg 2.76-2.80
8 Re 0.7466 0.5000 0.5760  2 Re 2.71, 7 Zn 2.72-2.78, 3 Mg 2.76-2.80

---

Here is MgZn2Re at its PBEsol-relaxed geometry from Alexandria via LeMat-Bulk. Energies are from meta-GGA SCAN.

Results
- Crystal system: tetragonal
- D(E_F): 6.45 states/eV/cell
- Total magnetic moment: 0.001 μB/f.u.
- Volume: 116.2 Å³ per cell
- ΔH_f (0 K): 0.2282 eV per atom

Cell: 3.8707 3.8707 7.7590 Å, 90.00 90.00 90.00°
Last column: nearest neighbours and their distance in Å.
Atoms (fractional coordinates):
1 Mg 0.0000 0.0000 0.0000  4 Re 2.74, 8 Zn 2.74
2 Mg 0.5000 0.5000 0.5000  4 Re 2.74, 8 Zn 2.74
3 Zn 0.0000 0.5000 0.2500  4 Zn 2.74, 4 Re 2.74, 4 Mg 2.74
4 Zn 0.0000 0.5000 0.7500  4 Zn 2.74, 4 Re 2.74, 4 Mg 2.74
5 Zn 0.5000 0.0000 0.2500  4 Zn 2.74, 4 Re 2.74, 4 Mg 2.74
6 Zn 0.5000 0.0000 0.7500  4 Zn 2.74, 4 Re 2.74, 4 Mg 2.74
7 Re 0.0000 0.0000 0.5000  4 Mg 2.74, 8 Zn 2.74
8 Re 0.5000 0.5000 0.0000  4 Mg 2.74, 8 Zn 2.74

---

Here is Mg2ZnRe at its PBEsol-relaxed geometry from Alexandria via LeMat-Bulk. Energies are from meta-GGA SCAN.

Results
- Crystal system: orthorhombic
- D(E_F): 3.14 states/eV/cell
- Total magnetic moment: 0.000 μB/f.u.
- Volume: 129.9 Å³ per cell
- ΔH_f (0 K): 0.2183 eV per atom

Cell: 2.8903 4.7063 9.5493 Å, 90.00 90.00 90.00°
Last column: nearest neighbours and their distance in Å.
Atoms (fractional coordinates):
1 Mg 0.0000 0.0000 0.0000  4 Zn 2.77, 2 Re 2.81, 4 Mg 2.89-3.02
2 Mg 0.0000 0.5000 0.2221  2 Zn 2.76, 4 Re 2.78, 4 Mg 2.89-3.02
3 Mg 0.5000 0.0000 0.7221  2 Zn 2.76, 4 Re 2.78, 4 Mg 2.89-3.02
4 Mg 0.5000 0.5000 0.5000  4 Zn 2.77, 2 Re 2.81, 4 Mg 2.89-3.02
5 Zn 0.0000 0.0000 0.4757  2 Re 2.58, 6 Mg 2.76-2.77
6 Zn 0.5000 0.5000 0.9757  2 Re 2.58, 6 Mg 2.76-2.77
7 Re 0.0000 0.5000 0.7524  2 Zn 2.58, 6 Mg 2.78-2.81
8 Re 0.5000 0.0000 0.2524  2 Zn 2.58, 6 Mg 2.78-2.81

---

Here is Mg2ZnRe at its PBEsol-relaxed geometry from Alexandria via LeMat-Bulk. Energies are from meta-GGA SCAN.

Results
- Crystal system: monoclinic
- D(E_F): 3.10 states/eV/cell
- Total magnetic moment: 0.000 μB/f.u.
- Volume: 129.1 Å³ per cell
- ΔH_f (0 K): 0.1821 eV per atom

Cell: 9.5096 2.7860 4.9657 Å, 90.00 101.06 90.00°
Last column: nearest neighbours and their distance in Å.
Atoms (fractional coordinates):
1 Mg 0.0000 0.0000 0.0000  5 Mg 2.79-3.00, 4 Re 2.82-2.88, 3 Zn 2.83-2.94
2 Mg 0.2327 0.0000 0.7195  4 Zn 2.69-3.01, 5 Mg 2.79-3.00, 3 Re 2.81-2.83
3 Mg 0.5000 0.5000 0.0000  5 Mg 2.79-3.00, 4 Re 2.82-2.88, 3 Zn 2.83-2.94
4 Mg 0.7327 0.5000 0.7195  4 Zn 2.69-3.01, 5 Mg 2.79-3.00, 3 Re 2.81-2.83
5 Zn 0.2479 0.5000 0.2616  3 Re 2.68-2.95, 5 Mg 2.69-2.94, 2 Zn 2.79
6 Zn 0.7479 0.0000 0.2616  3 Re 2.68-2.95, 5 Mg 2.69-2.94, 2 Zn 2.79
7 Re 0.4822 0.0000 0.4861  3 Zn 2.68-2.95, 2 Re 2.79, 7 Mg 2.81-2.88
8 Re 0.9822 0.5000 0.4861  3 Zn 2.68-2.95, 2 Re 2.79, 7 Mg 2.81-2.88

---

Here is MgZn2Re at its PBEsol-relaxed geometry from Alexandria via LeMat-Bulk. Energies are from meta-GGA SCAN.

Results
- Crystal system: orthorhombic
- D(E_F): 2.82 states/eV/cell
- Total magnetic moment: 0.000 μB/f.u.
- Volume: 120.2 Å³ per cell
- ΔH_f (0 K): 0.2505 eV per atom

Cell: 2.8517 4.6027 9.1571 Å, 90.00 90.00 90.00°
Last column: nearest neighbours and their distance in Å.
Atoms (fractional coordinates):
1 Mg 0.0000 0.0000 0.0000  4 Re 2.71, 4 Zn 2.78, 2 Mg 2.85
2 Mg 0.5000 0.5000 0.5000  4 Re 2.71, 4 Zn 2.78, 2 Mg 2.85
3 Zn 0.0000 0.5000 0.2399  2 Re 2.62, 6 Zn 2.71-2.85, 2 Mg 2.78
4 Zn 0.0000 0.5000 0.7601  2 Re 2.62, 6 Zn 2.71-2.85, 2 Mg 2.78
5 Zn 0.5000 0.0000 0.2601  2 Re 2.62, 6 Zn 2.71-2.85, 2 Mg 2.78
6 Zn 0.5000 0.0000 0.7399  2 Re 2.62, 6 Zn 2.71-2.85, 2 Mg 2.78
7 Re 0.0000 0.0000 0.5000  4 Zn 2.62, 4 Mg 2.71, 2 Re 2.85
8 Re 0.5000 0.5000 0.0000  4 Zn 2.62, 4 Mg 2.71, 2 Re 2.85

---

Here is MgZnRe2 at its PBEsol-relaxed geometry from Alexandria via LeMat-Bulk. Energies are from meta-GGA SCAN.

Results
- Crystal system: cubic
- D(E_F): 4.15 states/eV/cell
- Total magnetic moment: 0.000 μB/f.u.
- Volume: 231.9 Å³ per cell
- ΔH_f (0 K): 0.0390 eV per atom

Cell: 6.1439 6.1439 6.1439 Å, 90.00 90.00 90.00°
Last column: nearest neighbours and their distance in Å.
Atoms (fractional coordinates):
1 Mg 0.0000 0.0000 0.0000  4 Zn 2.66, 4 Re 2.66
2 Mg 0.0000 0.5000 0.5000  4 Zn 2.66, 4 Re 2.66
3 Mg 0.5000 0.0000 0.5000  4 Zn 2.66, 4 Re 2.66
4 Mg 0.5000 0.5000 0.0000  4 Zn 2.66, 4 Re 2.66
5 Zn 0.2500 0.2500 0.7500  4 Re 2.66, 4 Mg 2.66
6 Zn 0.2500 0.7500 0.2500  4 Re 2.66, 4 Mg 2.66
7 Zn 0.7500 0.2500 0.2500  4 Re 2.66, 4 Mg 2.66
8 Zn 0.7500 0.7500 0.7500  4 Re 2.66, 4 Mg 2.66
9 Re 0.0000 0.0000 0.5000  4 Re 2.66, 4 Zn 2.66
10 Re 0.0000 0.5000 0.0000  4 Re 2.66, 4 Zn 2.66
11 Re 0.2500 0.2500 0.2500  4 Mg 2.66, 4 Re 2.66
12 Re 0.2500 0.7500 0.7500  4 Mg 2.66, 4 Re 2.66
13 Re 0.5000 0.0000 0.0000  4 Re 2.66, 4 Zn 2.66
14 Re 0.5000 0.5000 0.5000  4 Re 2.66, 4 Zn 2.66
15 Re 0.7500 0.2500 0.7500  4 Mg 2.66, 4 Re 2.66
16 Re 0.7500 0.7500 0.2500  4 Mg 2.66, 4 Re 2.66

---

Here is Mg5Rh at its PBEsol-relaxed geometry from Alexandria via LeMat-Bulk. Energies are from meta-GGA SCAN.

Results
- Crystal system: tetragonal
- D(E_F): 2.15 states/eV/cell
- Total magnetic moment: 0.000 μB/f.u.
- Volume: 116.4 Å³ per cell
- ΔH_f (0 K): -0.2349 eV per atom

Cell: 3.2484 3.2484 11.0267 Å, 90.00 90.00 90.00°
Last column: nearest neighbours and their distance in Å.
Atoms (fractional coordinates):
1 Mg 0.0000 0.0000 0.0000  12 Mg 3.10-3.25
2 Mg 0.0000 0.0000 0.3738  4 Rh 2.69, 1 Mg 2.78
3 Mg 0.0000 0.0000 0.6262  4 Rh 2.69, 1 Mg 2.78
4 Mg 0.5000 0.5000 0.1891  12 Mg 3.07-3.25, 1 Rh 3.43
5 Mg 0.5000 0.5000 0.8109  12 Mg 3.07-3.25, 1 Rh 3.43
6 Rh 0.5000 0.5000 0.5000  8 Mg 2.69